Compound: Dy13Th2
Source: the Alexandria database
Functional: PBE
Structure: optimized geometry

## Properties
**Energy relative to the elements**: 0.067 eV per atom
**Size of the total moment**: 0.0000 μB per atom
**Calculated total energy**: -4.911 eV/atom

abc: 6.6151 8.7356 9.0159
angles: 69.04 83.85 80.53
With the nearest neighbours (Å) after each atom.
Space group P-1 (No. 2)
One atom of each set of equivalent atoms:
Dy1 0.0000 0.0000 0.0000 (multiplicity 1)  12 Dy 3.54-3.86, 2 Th 3.65
Dy2 0.0954 0.4235 0.6907 (multiplicity 2)  8 Dy 3.36-3.55, 2 Th 3.36-3.58
Dy3 0.1372 0.1983 0.2652 (multiplicity 2)  1 Th 3.15, 4 Dy 3.35-3.51
Dy4 0.2380 0.5751 0.9742 (multiplicity 2)  10 Dy 3.35-3.55
Dy5 0.3326 0.9999 0.6657 (multiplicity 2)  11 Dy 3.52-3.86, 3 Th 3.65
Dy6 0.4302 0.4249 0.3594 (multiplicity 2)  8 Dy 3.35-3.54, 2 Th 3.36-3.56
Dy7 0.4681 0.1964 0.9349 (multiplicity 2)  6 Dy 3.17-3.54, 1 Th 3.52
Th1 0.1999 0.8090 0.3959 (multiplicity 2)  4 Dy 3.15-3.52

***

Compound: Dy2Th5
Source: the Alexandria database
Functional: PBE
Structure: optimized geometry

## Properties
**Energy relative to the elements**: 0.044 eV per atom
**Size of the total moment**: 0.0000 μB per atom
**Calculated total energy**: -6.570 eV/atom

abc: 11.2885 5.0124 7.9923
angles: 90.00 97.81 90.00
With the nearest neighbours (Å) after each atom.
Space group C2/m (No. 12)
One atom of each set of equivalent atoms:
Dy1 0.0704 0.0000 0.2162 (multiplicity 4)  11 Th 3.54-3.57, 1 Dy 3.60
Th1 0.0000 0.5000 0.5000 (multiplicity 2)  4 Dy 3.54, 8 Th 3.56-3.60
Th2 0.1441 0.5000 0.9302 (multiplicity 4)  7 Th 3.54-3.60, 5 Dy 3.57
Th3 0.2142 0.0000 0.6428 (multiplicity 4)  4 Dy 3.55-3.57, 8 Th 3.56-3.57

***

Compound: DyTh
Source: the Alexandria database
Functional: PBE
Structure: optimized geometry

## Properties
**Energy relative to the elements**: 0.153 eV per atom
**Size of the total moment**: 0.0002 μB per atom
**Polymorph energy (0 for the lowest one)**: 131 meV/atom
**Calculated total energy**: -5.858 eV/atom

abc: 3.9989 3.9989 3.9989
angles: 90.00 90.00 90.00
With the nearest neighbours (Å) after each atom.
Space group Pm-3m (No. 221)
One atom of each set of equivalent atoms:
Dy1 0.0000 0.0000 0.0000 (multiplicity 1)  8 Th 3.46
Th1 0.5000 0.5000 0.5000 (multiplicity 1)  8 Dy 3.46

***

Compound: Dy2Th3
Source: the Alexandria database
Functional: PBE
Structure: optimized geometry

## Properties
**Energy relative to the elements**: 0.363 eV per atom
**Size of the total moment**: 0.0000 μB per atom
**Polymorph energy (0 for the lowest one)**: 0 meV/atom
**Calculated total energy**: -5.929 eV/atom

abc: 6.7407 6.7407 13.0154
angles: 90.00 90.00 120.00
With the nearest neighbours (Å) after each atom.
Space group R-3m (No. 166, hexagonal axes)
One atom of each set of equivalent atoms:
Dy1 0.0000 0.0000 0.1185 (multiplicity 6)  1 Dy 3.09, 3 Th 3.41
Th1 0.0000 0.5000 0.0000 (multiplicity 9)  4 Th 3.37, 6 Dy 3.41-3.71

***

Compound: Dy5Th
Source: the Alexandria database
Functional: PBE
Structure: optimized geometry

## Properties
**Energy relative to the elements**: 0.047 eV per atom
**Size of the total moment**: 0.0000 μB per atom
**Polymorph energy (0 for the lowest one)**: 23 meV/atom
**Calculated total energy**: -5.025 eV/atom

abc: 13.0461 3.5415 9.6744
angles: 90.00 120.87 90.00
With the nearest neighbours (Å) after each atom.
Space group Cm (No. 8)
One atom of each set of equivalent atoms:
Dy1 0.0000 0.0000 0.0000 (multiplicity 2)  7 Dy 3.21-3.56, 2 Th 3.40
Dy2 0.0119 0.0000 0.3557 (multiplicity 2)  9 Dy 3.36-3.77, 3 Th 3.49-3.56
Dy3 0.2494 0.5000 0.6647 (multiplicity 2)  10 Dy 3.21-3.60, 1 Th 3.35
Dy4 0.2620 0.0000 0.9969 (multiplicity 2)  11 Dy 3.43-3.82, 2 Th 3.68
Dy5 0.4849 0.0000 0.6653 (multiplicity 2)  11 Dy 3.45-3.82, 2 Th 3.83
Th1 0.2267 0.5000 0.3034 (multiplicity 2)  8 Dy 3.35-3.68, 2 Th 3.54

***

Compound: DyTh
Source: the Alexandria database
Functional: PBE
Structure: optimized geometry

## Properties
**Energy relative to the elements**: 0.030 eV per atom
**Size of the total moment**: 0.0000 μB per atom
**Polymorph energy (0 for the lowest one)**: 7 meV/atom
**Calculated total energy**: -5.981 eV/atom

abc: 3.5784 3.5784 10.0121
angles: 90.00 90.00 90.00
With the nearest neighbours (Å) after each atom.
Space group P4/nmm (No. 129, origin choice 2)
One atom of each set of equivalent atoms:
Dy1 0.2500 0.2500 0.1290 (multiplicity 2)  4 Th 3.55, 8 Dy 3.58-3.62
Th1 0.2500 0.2500 0.6226 (multiplicity 2)  8 Th 3.53-3.58, 4 Dy 3.55

***

Compound: DyTh2
Source: the Alexandria database
Functional: PBE
Structure: optimized geometry

## Properties
**Energy relative to the elements**: 0.041 eV per atom
**Size of the total moment**: 0.0000 μB per atom
**Polymorph energy (0 for the lowest one)**: 15 meV/atom
**Calculated total energy**: -6.440 eV/atom

abc: 3.5722 3.5722 15.0918
angles: 90.00 90.00 90.00
With the nearest neighbours (Å) after each atom.
Space group I4/mmm (No. 139)
One atom of each set of equivalent atoms:
Dy1 0.0000 0.0000 0.0000 (multiplicity 2)  4 Dy 3.57, 8 Th 3.58
Th1 0.0000 0.0000 0.3315 (multiplicity 4)  8 Th 3.53-3.57, 4 Dy 3.58

***

Compound: Dy5Th4
Source: the Alexandria database
Functional: PBE
Structure: optimized geometry

## Properties
**Energy relative to the elements**: 0.130 eV per atom
**Size of the total moment**: 0.0000 μB per atom
**Polymorph energy (0 for the lowest one)**: 84 meV/atom
**Calculated total energy**: -5.724 eV/atom

abc: 12.6174 12.6174 3.6208
angles: 90.00 90.00 90.00
With the nearest neighbours (Å) after each atom.
Space group I4/mmm (No. 139)
One atom of each set of equivalent atoms:
Dy1 0.0000 0.0000 0.0000 (multiplicity 2)  10 Dy 3.48-3.62
Dy2 0.1666 0.1666 0.5000 (multiplicity 8)  6 Dy 3.48-3.62, 4 Th 3.51
Th1 0.0000 0.3364 0.0000 (multiplicity 8)  6 Th 3.43-3.62, 4 Dy 3.51

***

Compound: Dy8Th
Source: the Alexandria database
Functional: PBE
Structure: optimized geometry

## Properties
**Energy relative to the elements**: 0.028 eV per atom
**Size of the total moment**: 0.0000 μB per atom
**Calculated total energy**: -4.887 eV/atom

abc: 10.6399 10.6399 5.0280
angles: 90.00 90.00 90.00
With the nearest neighbours (Å) after each atom.
Space group I4/mmm (No. 139)
One atom of each set of equivalent atoms:
Dy1 0.0000 0.3318 0.0000 (multiplicity 8)  1 Th 3.53, 11 Dy 3.54-3.58
Dy2 0.1644 0.1644 0.5000 (multiplicity 8)  10 Dy 3.50-3.60, 2 Th 3.53
Th1 0.0000 0.0000 0.0000 (multiplicity 2)  12 Dy 3.53

***

Compound: Dy5Th6
Source: the Alexandria database
Functional: PBE
Structure: optimized geometry

## Properties
**Energy relative to the elements**: 0.199 eV per atom
**Size of the total moment**: 0.0000 μB per atom
**Calculated total energy**: -5.940 eV/atom

abc: 5.8875 10.9848 11.5675
angles: 90.00 102.38 90.00
With the nearest neighbours (Å) after each atom.
Space group C2/m (No. 12)
One atom of each set of equivalent atoms:
Dy1 0.0000 0.0000 0.0000 (multiplicity 2)  6 Th 3.36-3.66, 6 Dy 3.51-3.59
Dy2 0.0000 0.3264 0.0000 (multiplicity 4)  6 Th 3.37-3.72, 5 Dy 3.39-3.59
Dy3 0.0000 0.3530 0.5000 (multiplicity 4)  1 Dy 3.23, 4 Th 3.34-3.43
Th1 0.0352 0.1585 0.7256 (multiplicity 8)  5 Dy 3.34-3.72, 5 Th 3.43-3.57
Th2 0.0480 0.5000 0.7662 (multiplicity 4)  5 Dy 3.36-3.43, 4 Th 3.43-3.47

***

Compound: DyTh2
Source: the Alexandria database
Functional: PBE
Structure: optimized geometry

## Properties
**Energy relative to the elements**: 0.275 eV per atom
**Size of the total moment**: 0.0000 μB per atom
**Polymorph energy (0 for the lowest one)**: 249 meV/atom
**Calculated total energy**: -6.205 eV/atom

abc: 9.3560 9.3560 9.3560
angles: 90.00 90.00 90.00
With the nearest neighbours (Å) after each atom.
Space group Fd-3m (No. 227, origin choice 2)
One atom of each set of equivalent atoms:
Dy1 0.1250 0.1250 0.1250 (multiplicity 8)  12 Th 3.88, 4 Dy 4.05
Th1 0.0000 0.0000 0.5000 (multiplicity 16)  6 Th 3.31

***

Compound: DyTh2
Source: the Alexandria database
Functional: PBE
Structure: optimized geometry

## Properties
**Energy relative to the elements**: 0.051 eV per atom
**Size of the total moment**: 0.0000 μB per atom
**Polymorph energy (0 for the lowest one)**: 25 meV/atom
**Calculated total energy**: -6.429 eV/atom

abc: 3.5970 4.9944 10.7029
angles: 90.00 90.00 90.00
With the nearest neighbours (Å) after each atom.
Space group Immm (No. 71)
One atom of each set of equivalent atoms:
Dy1 0.0000 0.0000 0.0000 (multiplicity 2)  10 Th 3.54-3.57, 2 Dy 3.60
Th1 0.0000 0.0000 0.3312 (multiplicity 4)  7 Th 3.53-3.61, 5 Dy 3.54-3.57